[1]
Density functional theory data (PBE) for a relaxed structure of LaBC.

Calculated values
**SG**: P2_12_12_1 (19)
**Energy relative to the lowest polymorph listed for this composition**: 0 meV/atom
**Final energy**: -7.32 eV/atom
**Energy of formation from the pure elements**: -0.3786 eV per atom

abc: 8.675 8.699 12.436
angles: 90.00 90.00 90.00
Sites, in units of the cell vectors:
La (0.164, 0.593, 0.404)
La (0.756, 0.790, 0.324)
La (0.843, 0.493, 0.578)
La (0.446, 0.903, 0.143)
La (0.343, 0.007, 0.422)
La (0.256, 0.710, 0.676)
La (0.744, 0.210, 0.824)
La (0.554, 0.403, 0.357)
La (0.939, 0.196, 0.371)
La (0.946, 0.597, 0.857)
La (0.336, 0.407, 0.904)
La (0.657, 0.507, 0.078)
La (0.244, 0.290, 0.176)
La (0.157, 0.993, 0.922)
La (0.054, 0.097, 0.643)
La (0.664, 0.907, 0.596)
La (0.439, 0.304, 0.629)
La (0.836, 0.093, 0.096)
La (0.061, 0.696, 0.129)
La (0.561, 0.804, 0.871)
B (0.559, 0.200, 0.180)
B (0.481, 0.116, 0.961)
B (0.817, 0.810, 0.006)
B (0.618, 0.104, 0.286)
B (0.519, 0.616, 0.539)
B (0.903, 0.469, 0.256)
B (0.882, 0.896, 0.786)
B (0.403, 0.031, 0.744)
B (0.019, 0.884, 0.461)
B (0.183, 0.310, 0.494)
B (0.981, 0.384, 0.039)
B (0.941, 0.800, 0.680)
B (0.441, 0.700, 0.320)
B (0.597, 0.531, 0.756)
B (0.059, 0.300, 0.820)
B (0.683, 0.190, 0.506)
B (0.317, 0.690, 0.994)
B (0.118, 0.396, 0.714)
B (0.382, 0.604, 0.214)
B (0.097, 0.969, 0.244)
C (0.022, 0.307, 0.937)
C (0.057, 0.891, 0.346)
C (0.557, 0.609, 0.654)
C (0.138, 0.999, 0.132)
C (0.943, 0.391, 0.154)
C (0.249, 0.297, 0.386)
C (0.353, 0.607, 0.095)
C (0.251, 0.703, 0.886)
C (0.978, 0.807, 0.563)
C (0.443, 0.109, 0.846)
C (0.478, 0.693, 0.437)
C (0.853, 0.893, 0.905)
C (0.362, 0.001, 0.632)
C (0.522, 0.193, 0.063)
C (0.749, 0.203, 0.614)
C (0.751, 0.797, 0.114)
C (0.638, 0.501, 0.868)
C (0.147, 0.393, 0.595)
C (0.647, 0.107, 0.405)
C (0.862, 0.499, 0.368)

=====

[2]
Density functional theory data (PBE) for a relaxed structure of La2Y15Sc2.

Calculated values
**SG**: R-3m (166)
**Final energy**: -6.01 eV/atom
**Energy of formation from the pure elements**: 0.2808 eV per atom

abc: 8.754 8.754 8.754
angles: 80.61 80.61 80.61
Last column: magnetic moment on the atom in μB.
Sites, in units of the cell vectors:
La (0.675, 0.675, 0.675)  0.09
La (0.325, 0.325, 0.325)  0.09
Y (0.500, 0.000, 0.000)  0.07
Y (0.000, 0.000, 0.500)  0.07
Y (0.000, 0.500, 0.000)  0.07
Y (0.000, 0.292, 0.708)  0.07
Y (0.292, 0.708, 0.000)  0.07
Y (0.708, 0.000, 0.292)  0.07
Y (0.708, 0.292, 0.000)  0.07
Y (0.292, 0.000, 0.708)  0.07
Y (0.000, 0.708, 0.292)  0.07
Y (0.854, 0.363, 0.363)  0.06
Y (0.363, 0.363, 0.854)  0.06
Y (0.363, 0.854, 0.363)  0.06
Y (0.146, 0.637, 0.637)  0.06
Y (0.637, 0.637, 0.146)  0.06
Y (0.637, 0.146, 0.637)  0.06
Sc (0.909, 0.909, 0.909)  0.32
Sc (0.091, 0.091, 0.091)  0.32

=====

[3]
Density functional theory data (PBE) for a relaxed structure of BaReSe3.

Calculated values
**SG**: Pm-3m (221)
**Energy relative to the lowest polymorph listed for this composition**: 0 meV/atom
**Final energy**: -5.49 eV/atom
**Formation energy from raw total energies**: -0.526 eV per atom

abc: 5.065 5.065 5.065
angles: 90.00 90.00 90.00
Last column: magnetic moment on the atom in μB.
Sites, in units of the cell vectors:
Re (0.000, 0.000, 0.000)  1.32
Ba (0.500, 0.500, 0.500)  0.03
Se (0.000, 0.500, 0.000)  0.04
Se (0.000, 0.000, 0.500)  0.03
Se (0.500, 0.000, 0.000)  0.06